(A)
Ta5Tc | Alexandria | GGA-PBE | relaxed; size of the total moment = 0.000 μB/atom; calculated volume = 105 Å³/cell
1.0
2.3226 -6.9455 0.0000
2.3226 6.9455 0.0000
0.0000 0.0000 3.2528
Ta Tc
5 1
Direct
0.0000 0.0000 0.0000
0.1686 0.8314 0.5000
0.3396 0.6604 0.0000
0.6604 0.3396 0.0000
0.8314 0.1686 0.5000
0.5000 0.5000 0.5000


(B)
Ta5Tc | Alexandria | GGA-PBE | relaxed; size of the total moment = 0.000 μB/atom; calculated volume = 110 Å³/cell
1.0
0.0000 3.8067 3.8067
3.8067 0.0000 3.8067
3.8067 3.8067 0.0000
Ta Tc
5 1
Direct
0.0000 0.0000 0.0000
0.1252 0.6249 0.6249
0.6249 0.1252 0.6249
0.6249 0.6249 0.1252
0.6249 0.6249 0.6249
0.2500 0.2500 0.2500


The structure with the most favorable energy is (A); the runner-up is 433 meV/atom above it.